## CeMgPa2N5 (GGA-PBE)

Data for an optimized crystal structure of CeMgPa2N5.

The density of states at the Fermi level is 0.929 states/eV per atom. As for the volume: 13.86 Å³/atom. As for the crystal system: tetragonal. Its final energy is -8.895 eV per atom. The total magnetic moment comes out at 0.94 μB/f.u.

The space group is I4/mcm (No. 140) and the conventional cell measures 6.5983, 6.5983 and 11.4638 Å, with angles of 90.00, 90.00 and 90.00 degrees. Symmetry generates all atoms from Ce at (0.0000, 0.0000, 0.2500), Mg at (0.0000, 0.5000, 0.2500), Pa at (0.1716, 0.3284, 0.0000), N at (0.0000, 0.0000, 0.0000) and N at (0.1596, 0.3404, 0.3696).